(1)
KCaSe2Br: optimized geometry, PBE-GGA.

Output
- formation energy without anion corrections (eV/atom) = -0.991
- E above lowest polymorph (meV per atom) = 0

Cell and atoms, written as CIF:
```
data_KCaSe2Br
_chemical_formula_sum 'K1 Ca1 Se2 Br1'
_cell_length_a 5.619
_cell_length_b 5.619
_cell_length_c 5.792
_cell_angle_alpha 90.00
_cell_angle_beta 90.00
_cell_angle_gamma 90.00
_space_group_name_H-M_alt 'P 4/m m m'
_space_group_IT_number 123
_space_group_name_Hall '-P 4 2'
loop_
_atom_site_label
_atom_site_type_symbol
_atom_site_fract_x
_atom_site_fract_y
_atom_site_fract_z
K1 K 0.000 0.000 0.000
Ca1 Ca 0.500 0.500 0.500
Se1 Se 0.000 0.500 0.500
Br1 Br 0.500 0.500 0.000
```

(2)
KCa2SmBr8: optimized geometry, PBE-GGA.

Output
- formation energy without anion corrections (eV/atom) = -1.907

Cell and atoms, written as CIF:
```
data_KCa2SmBr8
_chemical_formula_sum 'K1 Ca2 Sm1 Br8'
_cell_length_a 6.739
_cell_length_b 9.072
_cell_length_c 7.105
_cell_angle_alpha 90.00
_cell_angle_beta 90.38
_cell_angle_gamma 90.00
_space_group_name_H-M_alt 'P 1 2/m 1'
_space_group_IT_number 10
loop_
_space_group_symop_operation_xyz
'x,y,z'
'-x,-y,-z'
'-x,y,-z'
'x,-y,z'
loop_
_atom_site_label
_atom_site_type_symbol
_atom_site_fract_x
_atom_site_fract_y
_atom_site_fract_z
K1 K 0.000 0.000 0.000
Ca1 Ca 0.500 0.247 0.500
Sm1 Sm 0.000 0.500 0.000
Br1 Br 0.244 0.278 0.166
Br2 Br 0.262 0.500 0.668
Br3 Br 0.270 0.000 0.632
```

(3)
KCaSmBr6: optimized geometry, PBE-GGA.

Output
- formation energy without anion corrections (eV/atom) = -1.926

Cell and atoms, written as CIF:
```
data_KCaSmBr6
_chemical_formula_sum 'K2 Ca2 Sm2 Br12'
_cell_length_a 7.5341
_cell_length_b 7.5341
_cell_length_c 14.3042
_cell_angle_alpha 90.00
_cell_angle_beta 90.00
_cell_angle_gamma 120.00
_space_group_name_H-M_alt 'P -3 1 c'
_space_group_IT_number 163
_space_group_name_Hall '-P 3 2c'
loop_
_atom_site_label
_atom_site_type_symbol
_atom_site_fract_x
_atom_site_fract_y
_atom_site_fract_z
K1 K 0.0000 0.0000 0.0000
Ca1 Ca 0.3333 0.6667 0.2500
Sm1 Sm 0.3333 0.6667 0.7500
Br1 Br 0.0042 0.3714 0.6351
```

(4)
KCaSnBr5: optimized geometry, PBE-GGA.

Output
- formation energy without anion corrections (eV/atom) = -1.464

Cell and atoms, written as CIF:
```
data_KCaSnBr5
_chemical_formula_sum 'K4 Ca4 Sn4 Br20'
_cell_length_a 10.604
_cell_length_b 11.815
_cell_length_c 10.887
_cell_angle_alpha 90.00
_cell_angle_beta 114.13
_cell_angle_gamma 90.00
_space_group_name_H-M_alt 'C 1 2/c 1'
_space_group_IT_number 15
loop_
_space_group_symop_operation_xyz
'x,y,z'
'-x,-y,-z'
'-x,y,-z+1/2'
'x,-y,z+1/2'
'x+1/2,y+1/2,z'
'-x+1/2,-y+1/2,-z'
'-x+1/2,y+1/2,-z+1/2'
'x+1/2,-y+1/2,z+1/2'
loop_
_atom_site_label
_atom_site_type_symbol
_atom_site_fract_x
_atom_site_fract_y
_atom_site_fract_z
K1 K 0.000 0.075 0.250
Ca1 Ca 0.250 0.250 0.000
Sn1 Sn 0.000 0.495 0.250
Br1 Br 0.000 0.216 0.750
Br2 Br 0.036 0.326 0.089
Br3 Br 0.202 0.023 0.072
```

(5)
KCaTbBr6: optimized geometry, PBE-GGA.

Output
- formation energy without anion corrections (eV/atom) = -1.929

Cell and atoms, written as CIF:
```
data_KCaTbBr6
_chemical_formula_sum 'K2 Ca2 Tb2 Br12'
_cell_length_a 7.4720
_cell_length_b 7.4720
_cell_length_c 14.3245
_cell_angle_alpha 90.00
_cell_angle_beta 90.00
_cell_angle_gamma 120.00
_space_group_name_H-M_alt 'P -3 1 c'
_space_group_IT_number 163
_space_group_name_Hall '-P 3 2c'
loop_
_atom_site_label
_atom_site_type_symbol
_atom_site_fract_x
_atom_site_fract_y
_atom_site_fract_z
K1 K 0.0000 0.0000 0.0000
Ca1 Ca 0.3333 0.6667 0.2500
Tb1 Tb 0.3333 0.6667 0.7500
Br1 Br 0.0090 0.3738 0.6363
```

(6)
KCaTe2Br: optimized geometry, PBE-GGA.

Output
- formation energy without anion corrections (eV/atom) = -0.895

Cell and atoms, written as CIF:
```
data_KCaTe2Br
_chemical_formula_sum 'K1 Ca1 Te2 Br1'
_cell_length_a 5.999
_cell_length_b 5.999
_cell_length_c 5.792
_cell_angle_alpha 90.00
_cell_angle_beta 90.00
_cell_angle_gamma 90.00
_space_group_name_H-M_alt 'P 4/m m m'
_space_group_IT_number 123
_space_group_name_Hall '-P 4 2'
loop_
_atom_site_label
_atom_site_type_symbol
_atom_site_fract_x
_atom_site_fract_y
_atom_site_fract_z
K1 K 0.000 0.000 0.000
Ca1 Ca 0.500 0.500 0.500
Te1 Te 0.000 0.500 0.500
Br1 Br 0.500 0.500 0.000
```

(7)
KCaTiBr6: optimized geometry, PBE-GGA.

Output
- formation energy without anion corrections (eV/atom) = -1.589

Cell and atoms, written as CIF:
```
data_KCaTiBr6
_chemical_formula_sum 'K2 Ca2 Ti2 Br12'
_cell_length_a 7.2033
_cell_length_b 7.2033
_cell_length_c 14.3544
_cell_angle_alpha 90.00
_cell_angle_beta 90.00
_cell_angle_gamma 120.00
_space_group_name_H-M_alt 'P -3 1 c'
_space_group_IT_number 163
_space_group_name_Hall '-P 3 2c'
loop_
_atom_site_label
_atom_site_type_symbol
_atom_site_fract_x
_atom_site_fract_y
_atom_site_fract_z
K1 K 0.0000 0.0000 0.0000
Ca1 Ca 0.3333 0.6667 0.2500
Ti1 Ti 0.3333 0.6667 0.7500
Br1 Br 0.0312 0.3820 0.6432
```

(8)
K3CaTl3Br8: optimized geometry, PBE-GGA.

Output
- formation energy without anion corrections (eV/atom) = -1.462

Cell and atoms, written as CIF:
```
data_K3CaTl3Br8
_chemical_formula_sum 'K9 Ca3 Tl9 Br24'
_cell_length_a 9.4362
_cell_length_b 9.4362
_cell_length_c 23.1992
_cell_angle_alpha 90.00
_cell_angle_beta 90.00
_cell_angle_gamma 120.00
_space_group_name_H-M_alt 'R -3 m'
_space_group_IT_number 166
_space_group_name_Hall '-R 3 2"'
loop_
_atom_site_label
_atom_site_type_symbol
_atom_site_fract_x
_atom_site_fract_y
_atom_site_fract_z
K1 K 0.0000 0.5000 0.0000
Ca1 Ca 0.0000 0.0000 0.0000
Tl1 Tl 0.0000 0.5000 0.5000
Br1 Br 0.0000 0.0000 0.2524
Br2 Br 0.0383 0.5192 0.7392
```